[1]
# HfAl2V, relaxed, DFT PBE
# Energy of formation from the pure elements   -0.22 eV per atom
# DOS(E_F)   2.760 states/eV/f.u.
# Polymorph energy (0 for the lowest one)   0.12 eV per formula unit
data_HfAl2V
_cell_length_a 7.0823
_cell_length_b 3.7043
_cell_length_c 10.3932
_cell_angle_alpha 90.00
_cell_angle_beta 90.00
_cell_angle_gamma 90.00
_space_group_name_H-M_alt 'P n m a'
_space_group_IT_number 62
_space_group_name_Hall '-P 2ac 2n'
loop_
_atom_site_label
_atom_site_fract_x
_atom_site_fract_y
_atom_site_fract_z
Hf1 0.2382 0.2500 0.1920
Al1 0.0655 0.2500 0.8351
Al2 0.2060 0.7500 0.9805
V1 0.0460 0.7500 0.4138

---

[2]
# ScTl2In, relaxed, DFT PBE
# Energy of formation from the pure elements   0.05 eV per atom
# DOS(E_F)   2.891 states/eV/f.u.
data_ScTl2In
_cell_length_a 7.5411
_cell_length_b 7.5411
_cell_length_c 7.5411
_cell_angle_alpha 90.00
_cell_angle_beta 90.00
_cell_angle_gamma 90.00
_space_group_name_H-M_alt 'F -4 3 m'
_space_group_IT_number 216
_space_group_name_Hall 'F -4 2 3'
loop_
_atom_site_label
_atom_site_fract_x
_atom_site_fract_y
_atom_site_fract_z
Sc1 0.0000 0.0000 0.0000
Tl1 0.0000 0.0000 0.5000
Tl2 0.2500 0.2500 0.7500
In1 0.2500 0.2500 0.2500

---

[3]
# SmEr14Th, relaxed, DFT PBE
# Energy of formation from the pure elements   0.02 eV per atom
# DOS(E_F)   21.148 states/eV/f.u.
data_SmEr14Th
_cell_length_a 11.3963
_cell_length_b 7.0880
_cell_length_c 12.2335
_cell_angle_alpha 90.00
_cell_angle_beta 90.00
_cell_angle_gamma 90.00
_space_group_name_H-M_alt 'A m m 2'
_space_group_IT_number 38
_space_group_name_Hall 'A 2 -2'
loop_
_atom_site_label
_atom_site_fract_x
_atom_site_fract_y
_atom_site_fract_z
Sm1 0.0000 0.0000 0.0000
Er1 0.0000 0.2502 0.2497
Er2 0.2506 0.0000 0.6648
Er3 0.2525 0.2477 0.4171
Er4 0.2526 0.0000 0.1671
Er5 0.5000 0.0000 0.3328
Er6 0.5000 0.0000 0.8330
Er7 0.5000 0.2495 0.0835
Th1 0.0000 0.0000 0.4984

---

[4]
# PaHg3I4, relaxed, DFT PBE
# DOS(E_F)   2.378 states/eV/f.u.
# ΔE_f (raw)   -317.4 kJ/mol of formula units
data_PaHg3I4
_cell_length_a 9.1884
_cell_length_b 9.1884
_cell_length_c 14.7793
_cell_angle_alpha 90.00
_cell_angle_beta 90.00
_cell_angle_gamma 90.00
_space_group_name_H-M_alt 'I -4 2 m'
_space_group_IT_number 121
_space_group_name_Hall 'I -4 2'
loop_
_atom_site_label
_atom_site_fract_x
_atom_site_fract_y
_atom_site_fract_z
Pa1 0.0000 0.0000 0.0000
Hg1 0.0000 0.0000 0.5000
Hg2 0.0000 0.5000 0.2500
I1 0.1839 0.1839 0.8900